# 1
Material: AlTl2In
Method: DFT, PBE-GGA
State: optimized geometry

total moment	0.0	μB/f.u.
energy relative to the lowest polymorph listed for this composition	0	meV per atom
energy of formation	0.11	eV per atom
DFT total energy	-2.689	eV/atom

Unit cell a=3.4365 b=3.4365 c=9.0845 alpha=90.00 beta=90.00 gamma=90.00
Space group P4mm (No. 99)
One atom of each set of equivalent atoms:
Al: 0.0000 0.0000 0.0000 [1 per cell]
Tl: 0.0000 0.0000 0.4694 [1 per cell]
Tl: 0.5000 0.5000 0.7748 [1 per cell]
In: 0.5000 0.5000 0.1962 [1 per cell]

# 2
Material: AlTl2In
Method: DFT, PBE-GGA
State: optimized geometry

total moment	0.0	μB/f.u.
energy relative to the lowest polymorph listed for this composition	117	meV per atom
energy of formation	0.23	eV per atom
DFT total energy	-2.573	eV/atom

Unit cell a=8.5134 b=8.5134 c=6.1947 alpha=90.00 beta=90.00 gamma=90.00
Space group I-42d (No. 122)
One atom of each set of equivalent atoms:
Al: 0.0000 0.0000 0.0000 [4 per cell]
Tl: 0.2118 0.2500 0.1250 [8 per cell]
In: 0.0000 0.0000 0.5000 [4 per cell]

# 3
Material: Al2TlIn
Method: DFT, PBE-GGA
State: optimized geometry

total moment	0.0	μB/f.u.
energy relative to the lowest polymorph listed for this composition	66	meV per atom
energy of formation	0.22	eV per atom
DFT total energy	-2.925	eV/atom

Unit cell a=3.0510 b=5.4125 c=11.3914 alpha=90.00 beta=90.00 gamma=90.00
Space group Imm2 (No. 44)
One atom of each set of equivalent atoms:
Al: 0.0000 0.0000 0.0000 [2 per cell]
Al: 0.0000 0.5000 0.2956 [2 per cell]
Tl: 0.0000 0.0000 0.5342 [2 per cell]
In: 0.0000 0.5000 0.7410 [2 per cell]